This record from the Alexandria database describes a relaxed Ac8Ge3AsSe4 crystal. The functional is PBE-GGA. Values from VASP.

Summary:
Raw formation energy = -1.47 eV/atom
Raw total energy = -5.5493 eV/atom

```
&SYSTEM
  ibrav = 0, nat = 16, ntyp = 4
/
ATOMIC_SPECIES
Ac 227.00 Ac.upf
Ge 72.64 Ge.upf
As 74.92 As.upf
Se 78.96 Se.upf
ATOMIC_POSITIONS angstrom
Ac -2.298 -1.327 12.887
Ac 0.000 0.000 5.478
Ac 0.000 -2.653 9.355
Ac -2.298 1.327 9.355
Ac 2.298 -1.327 12.887
Ac 0.000 2.653 12.887
Ac 0.000 0.000 16.764
Ac 2.298 1.327 9.355
Ge -4.566 0.000 11.121
Ge -2.283 1.318 3.707
Ge 2.283 1.318 3.707
As 0.000 0.000 11.121
Se 0.000 0.000 0.000
Se -2.283 -1.318 7.414
Se -2.283 1.318 14.828
Se 0.000 2.636 7.414
CELL_PARAMETERS angstrom
4.566 2.636 7.414
-4.566 2.636 7.414
0.000 -5.273 7.414
```

=====

This record from the Alexandria database describes a relaxed Er3AgPd crystal. The functional is PBE-GGA. Values from VASP.

Summary:
Energy relative to the elements = -30 kJ/mol of atoms
Raw total energy = -4.6602 eV/atom
Excess energy over the best structure of this formula in the dataset = 0.155 eV/atom

```
&SYSTEM
  ibrav = 0, nat = 10, ntyp = 3
/
ATOMIC_SPECIES
Er 167.26 Er.upf
Ag 107.87 Ag.upf
Pd 106.42 Pd.upf
ATOMIC_POSITIONS angstrom
Er 0.000 -5.635 4.849
Er 0.000 -1.729 3.652
Er 0.000 1.729 3.652
Er 0.000 5.635 4.849
Er 1.898 -2.375 6.676
Er 1.898 2.375 6.676
Ag 0.000 0.000 6.666
Ag 1.898 0.000 1.825
Pd 1.898 -3.682 4.251
Pd 1.898 3.682 4.251
CELL_PARAMETERS angstrom
3.795 0.000 0.000
0.000 7.364 4.849
0.000 -7.364 4.849
```

=====

This record from the Alexandria database describes a relaxed TmPaSN2 crystal. The functional is PBE-GGA. Values from VASP.

Summary:
Raw formation energy = -1.77 eV/atom
Raw total energy = -8.7211 eV/atom

```
&SYSTEM
  ibrav = 0, nat = 5, ntyp = 4
/
ATOMIC_SPECIES
Tm 168.93 Tm.upf
Pa 231.04 Pa.upf
S 32.06 S.upf
N 14.01 N.upf
ATOMIC_POSITIONS angstrom
Tm 0.000 0.000 0.000
Pa 0.000 0.000 3.746
S 0.000 0.000 7.830
N 1.917 0.000 4.771
N 0.000 1.917 4.771
CELL_PARAMETERS angstrom
-1.917 1.917 5.940
1.917 -1.917 5.940
1.917 1.917 -5.940
```

=====

This record from the Alexandria database describes a relaxed KPm2Ag2Se4 crystal. The functional is PBE-GGA. Values from VASP.

Summary:
Raw formation energy = -1.13 eV/atom
Raw total energy = -4.4852 eV/atom

```
&SYSTEM
  ibrav = 0, nat = 9, ntyp = 4
/
ATOMIC_SPECIES
K 39.10 K.upf
Pm 145.00 Pm.upf
Ag 107.87 Ag.upf
Se 78.96 Se.upf
ATOMIC_POSITIONS angstrom
K 0.000 0.000 0.000
Pm -0.021 0.000 4.190
Pm 11.983 0.000 3.270
Ag 1.329 0.000 7.237
Ag 10.633 0.000 0.224
Se 2.316 0.000 2.151
Se 6.290 0.000 2.136
Se 5.673 0.000 5.325
Se 9.646 0.000 5.309
CELL_PARAMETERS angstrom
7.764 -1.974 0.000
7.764 1.974 0.000
-3.565 0.000 7.460
```

=====

This record from the Alexandria database describes a relaxed LiBeCr crystal. The functional is PBE-GGA. Values from VASP.

Summary:
Energy relative to the elements = 80 kJ/mol of atoms
Raw total energy = -4.2547 eV/atom
Excess energy over the best structure of this formula in the dataset = 0.587 eV/atom

```
&SYSTEM
  ibrav = 0, nat = 3, ntyp = 3
/
ATOMIC_SPECIES
Li 6.94 Li.upf
Be 9.01 Be.upf
Cr 52.00 Cr.upf
ATOMIC_POSITIONS angstrom
Li 0.000 0.000 0.000
Be 4.240 4.240 4.240
Cr 2.826 2.826 2.826
CELL_PARAMETERS angstrom
0.000 2.826 2.826
2.826 0.000 2.826
2.826 2.826 0.000
```

=====

This record from the Alexandria database describes a relaxed Y2ZrZnH crystal. The functional is PBE-GGA. Values from VASP.

Summary:
Raw total energy = -5.3600 eV/atom

```
&SYSTEM
  ibrav = 0, nat = 5, ntyp = 4
/
ATOMIC_SPECIES
Y 88.91 Y.upf
Zr 91.22 Zr.upf
Zn 65.41 Zn.upf
H 1.01 H.upf
ATOMIC_POSITIONS angstrom
Y 0.000 2.376 0.000
Y 2.376 0.000 0.000
Zr 0.000 0.000 2.226
Zn 2.376 2.376 2.226
H 0.000 0.000 0.000
CELL_PARAMETERS angstrom
4.751 0.000 0.000
0.000 4.751 0.000
0.000 0.000 4.452
```

=====

This record from the Alexandria database describes a relaxed Ac15Tb4Nd crystal. The functional is PBE-GGA. Values from VASP.

Summary:
Energy relative to the elements = 3 kJ/mol of atoms
Raw total energy = -4.2150 eV/atom

```
&SYSTEM
  ibrav = 0, nat = 20, ntyp = 3
/
ATOMIC_SPECIES
Ac 227.00 Ac.upf
Tb 158.93 Tb.upf
Nd 144.24 Nd.upf
ATOMIC_POSITIONS angstrom
Ac 0.000 0.000 0.000
Ac 0.000 0.000 5.508
Ac 0.000 0.000 10.971
Ac 0.000 0.000 16.441
Ac 0.000 0.000 21.904
Ac 0.000 2.756 2.772
Ac 0.000 2.756 8.239
Ac 0.000 2.756 13.706
Ac 0.000 2.756 19.174
Ac 0.000 2.756 24.641
Ac 2.756 0.000 2.772
Ac 2.756 0.000 8.239
Ac 2.756 0.000 13.706
Ac 2.756 0.000 19.174
Ac 2.756 0.000 24.641
Tb 2.756 2.756 5.509
Tb 2.756 2.756 10.970
Tb 2.756 2.756 16.443
Tb 2.756 2.756 21.904
Nd 2.756 2.756 0.000
CELL_PARAMETERS angstrom
5.512 0.000 0.000
0.000 5.512 0.000
0.000 0.000 27.413
```

=====

This record from the Alexandria database describes a relaxed NbGaTc2Pt crystal. The functional is PBE-GGA. Values from VASP.

Summary:
Energy relative to the elements = 140 kJ/mol of atoms
Raw total energy = -6.5204 eV/atom

```
&SYSTEM
  ibrav = 0, nat = 5, ntyp = 4
/
ATOMIC_SPECIES
Nb 92.91 Nb.upf
Ga 69.72 Ga.upf
Tc 98.00 Tc.upf
Pt 195.08 Pt.upf
ATOMIC_POSITIONS angstrom
Nb 0.000 0.000 0.000
Ga 2.388 2.388 0.000
Tc 0.000 2.388 2.254
Tc 2.388 0.000 2.254
Pt 2.388 2.388 2.254
CELL_PARAMETERS angstrom
4.776 0.000 0.000
0.000 4.776 0.000
0.000 0.000 4.507
```

=====

Question: Look up the raw total energy of the seventh one.
Answer: -4.2150 eV/atom

=====

Question: Which value of raw total energy does entry 4 give?
Answer: -4.4852 eV/atom

=====

Question: What is the formula in the first record?
Answer: Ac8Ge3AsSe4

=====

Question: Which of these has the lowest raw total energy?
Answer: TmPaSN2